Arrangement i

Density functional theory data (GGA-PBE) for a relaxed structure of Na3VS.

Structure (CIF):
```
data_Na3VS
_chemical_formula_sum 'Na3 V1 S1'
_space_group_name_H-M_alt 'P m -3 m'
_space_group_IT_number 221
_space_group_name_Hall '-P 4 2 3'
_cell_length_a 5.5687
_cell_length_b 5.5687
_cell_length_c 5.5687
_cell_angle_alpha 90.00
_cell_angle_beta 90.00
_cell_angle_gamma 90.00
loop_
_atom_site_label
_atom_site_fract_x
_atom_site_fract_y
_atom_site_fract_z
Na1 0.0000 0.0000 0.5000
V1 0.0000 0.0000 0.0000
S1 0.5000 0.5000 0.5000
```


Arrangement ii

Density functional theory data (GGA-PBE) for a relaxed structure of Na3VS.

Structure (CIF):
```
data_Na3VS
_chemical_formula_sum 'Na3 V1 S1'
_space_group_name_H-M_alt 'P m -3 m'
_space_group_IT_number 221
_space_group_name_Hall '-P 4 2 3'
_cell_length_a 5.3437
_cell_length_b 5.3437
_cell_length_c 5.3437
_cell_angle_alpha 90.00
_cell_angle_beta 90.00
_cell_angle_gamma 90.00
loop_
_atom_site_label
_atom_site_fract_x
_atom_site_fract_y
_atom_site_fract_z
Na1 0.0000 0.0000 0.5000
V1 0.5000 0.5000 0.5000
S1 0.0000 0.0000 0.0000
```


Which of them is the most stable? Correct choice: arrangement ii.


Arrangement i

Density functional theory data (GGA-PBE) for a relaxed structure of NaV6S8.

Structure (CIF):
```
data_NaV6S8
_chemical_formula_sum 'Na1 V6 S8'
_space_group_name_H-M_alt 'P -3'
_space_group_IT_number 147
_cell_length_a 9.0866
_cell_length_b 9.0866
_cell_length_c 3.2634
_cell_angle_alpha 90.00
_cell_angle_beta 90.00
_cell_angle_gamma 120.00
loop_
_space_group_symop_operation_xyz
'x,y,z'
'-x,-y,-z'
'-y,x-y,z'
'y,-x+y,-z'
'-x+y,-x,z'
'x-y,x,-z'
loop_
_atom_site_label
_atom_site_fract_x
_atom_site_fract_y
_atom_site_fract_z
Na1 0.0000 0.0000 0.0000
V1 0.1149 0.4902 0.2491
S1 0.0510 0.7090 0.2518
S2 0.3333 0.6667 0.7495
```


Arrangement ii

Density functional theory data (GGA-PBE) for a relaxed structure of NaV6S8.

Structure (CIF):
```
data_NaV6S8
_chemical_formula_sum 'Na3 V18 S24'
_space_group_name_H-M_alt 'R -3'
_space_group_IT_number 148
_space_group_name_Hall '-R 3'
_cell_length_a 9.0573
_cell_length_b 9.0573
_cell_length_c 11.0654
_cell_angle_alpha 90.00
_cell_angle_beta 90.00
_cell_angle_gamma 120.00
loop_
_atom_site_label
_atom_site_fract_x
_atom_site_fract_y
_atom_site_fract_z
Na1 0.0000 0.0000 0.0000
V1 0.0160 0.1839 0.3918
S1 0.0000 0.0000 0.2398
S2 0.0232 0.3100 0.5824
```


Which of them is the most stable? Correct choice: arrangement i.


Arrangement i

Density functional theory data (GGA-PBE) for a relaxed structure of NaY3S.

Structure (CIF):
```
data_NaY3S
_chemical_formula_sum 'Na1 Y3 S1'
_space_group_name_H-M_alt 'P m -3 m'
_space_group_IT_number 221
_space_group_name_Hall '-P 4 2 3'
_cell_length_a 5.3292
_cell_length_b 5.3292
_cell_length_c 5.3292
_cell_angle_alpha 90.00
_cell_angle_beta 90.00
_cell_angle_gamma 90.00
loop_
_atom_site_label
_atom_site_fract_x
_atom_site_fract_y
_atom_site_fract_z
Na1 0.0000 0.0000 0.0000
Y1 0.0000 0.5000 0.5000
S1 0.5000 0.5000 0.5000
```


Arrangement ii

Density functional theory data (GGA-PBE) for a relaxed structure of NaY3S.

Structure (CIF):
```
data_NaY3S
_chemical_formula_sum 'Na1 Y3 S1'
_space_group_name_H-M_alt 'P m -3 m'
_space_group_IT_number 221
_space_group_name_Hall '-P 4 2 3'
_cell_length_a 5.4617
_cell_length_b 5.4617
_cell_length_c 5.4617
_cell_angle_alpha 90.00
_cell_angle_beta 90.00
_cell_angle_gamma 90.00
loop_
_atom_site_label
_atom_site_fract_x
_atom_site_fract_y
_atom_site_fract_z
Na1 0.0000 0.0000 0.0000
Y1 0.0000 0.0000 0.5000
S1 0.5000 0.5000 0.5000
```


Which of them is the most stable? Correct choice: arrangement i.


Arrangement i

Density functional theory data (GGA-PBE) for a relaxed structure of NaYS3.

Structure (CIF):
```
data_NaYS3
_chemical_formula_sum 'Na1 Y1 S3'
_space_group_name_H-M_alt 'P m -3 m'
_space_group_IT_number 221
_space_group_name_Hall '-P 4 2 3'
_cell_length_a 5.2845
_cell_length_b 5.2845
_cell_length_c 5.2845
_cell_angle_alpha 90.00
_cell_angle_beta 90.00
_cell_angle_gamma 90.00
loop_
_atom_site_label
_atom_site_fract_x
_atom_site_fract_y
_atom_site_fract_z
Na1 0.0000 0.0000 0.0000
Y1 0.5000 0.5000 0.5000
S1 0.0000 0.5000 0.5000
```


Arrangement ii

Density functional theory data (GGA-PBE) for a relaxed structure of NaYS3.

Structure (CIF):
```
data_NaYS3
_chemical_formula_sum 'Na1 Y1 S3'
_space_group_name_H-M_alt 'P m -3 m'
_space_group_IT_number 221
_space_group_name_Hall '-P 4 2 3'
_cell_length_a 4.7965
_cell_length_b 4.7965
_cell_length_c 4.7965
_cell_angle_alpha 90.00
_cell_angle_beta 90.00
_cell_angle_gamma 90.00
loop_
_atom_site_label
_atom_site_fract_x
_atom_site_fract_y
_atom_site_fract_z
Na1 0.0000 0.0000 0.0000
Y1 0.5000 0.5000 0.5000
S1 0.0000 0.0000 0.5000
```


Which of them is the most stable? Correct choice: arrangement i.


Arrangement i

Density functional theory data (GGA-PBE) for a relaxed structure of NaZnS3.

Structure (CIF):
```
data_NaZnS3
_chemical_formula_sum 'Na1 Zn1 S3'
_space_group_name_H-M_alt 'P m -3 m'
_space_group_IT_number 221
_space_group_name_Hall '-P 4 2 3'
_cell_length_a 4.7483
_cell_length_b 4.7483
_cell_length_c 4.7483
_cell_angle_alpha 90.00
_cell_angle_beta 90.00
_cell_angle_gamma 90.00
loop_
_atom_site_label
_atom_site_fract_x
_atom_site_fract_y
_atom_site_fract_z
Na1 0.0000 0.0000 0.0000
Zn1 0.5000 0.5000 0.5000
S1 0.0000 0.5000 0.5000
```


Arrangement ii

Density functional theory data (GGA-PBE) for a relaxed structure of NaZnS3.

Structure (CIF):
```
data_NaZnS3
_chemical_formula_sum 'Na1 Zn1 S3'
_space_group_name_H-M_alt 'P m -3 m'
_space_group_IT_number 221
_space_group_name_Hall '-P 4 2 3'
_cell_length_a 4.9652
_cell_length_b 4.9652
_cell_length_c 4.9652
_cell_angle_alpha 90.00
_cell_angle_beta 90.00
_cell_angle_gamma 90.00
loop_
_atom_site_label
_atom_site_fract_x
_atom_site_fract_y
_atom_site_fract_z
Na1 0.0000 0.0000 0.0000
Zn1 0.5000 0.5000 0.5000
S1 0.0000 0.0000 0.5000
```


Which of them is the most stable? Correct choice: arrangement i.


Arrangement i

Density functional theory data (GGA-PBE) for a relaxed structure of NaZr3S.

Structure (CIF):
```
data_NaZr3S
_chemical_formula_sum 'Na1 Zr3 S1'
_space_group_name_H-M_alt 'P m -3 m'
_space_group_IT_number 221
_space_group_name_Hall '-P 4 2 3'
_cell_length_a 4.9242
_cell_length_b 4.9242
_cell_length_c 4.9242
_cell_angle_alpha 90.00
_cell_angle_beta 90.00
_cell_angle_gamma 90.00
loop_
_atom_site_label
_atom_site_fract_x
_atom_site_fract_y
_atom_site_fract_z
Na1 0.0000 0.0000 0.0000
Zr1 0.0000 0.5000 0.5000
S1 0.5000 0.5000 0.5000
```


Arrangement ii

Density functional theory data (GGA-PBE) for a relaxed structure of NaZr3S.

Structure (CIF):
```
data_NaZr3S
_chemical_formula_sum 'Na1 Zr3 S1'
_space_group_name_H-M_alt 'P m -3 m'
_space_group_IT_number 221
_space_group_name_Hall '-P 4 2 3'
_cell_length_a 4.9871
_cell_length_b 4.9871
_cell_length_c 4.9871
_cell_angle_alpha 90.00
_cell_angle_beta 90.00
_cell_angle_gamma 90.00
loop_
_atom_site_label
_atom_site_fract_x
_atom_site_fract_y
_atom_site_fract_z
Na1 0.0000 0.0000 0.0000
Zr1 0.0000 0.0000 0.5000
S1 0.5000 0.5000 0.5000
```


Which of them is the most stable? Correct choice: arrangement i.


Arrangement i

Density functional theory data (GGA-PBE) for a relaxed structure of Na3Sb2.

Structure (CIF):
```
data_Na3Sb2
_chemical_formula_sum 'Na18 Sb12'
_space_group_name_H-M_alt 'R -3 c'
_space_group_IT_number 167
_space_group_name_Hall '-R 3 2"c'
_cell_length_a 9.1531
_cell_length_b 9.1531
_cell_length_c 12.3552
_cell_angle_alpha 90.00
_cell_angle_beta 90.00
_cell_angle_gamma 120.00
loop_
_atom_site_label
_atom_site_fract_x
_atom_site_fract_y
_atom_site_fract_z
Na1 0.0000 0.3158 0.2500
Sb1 0.0000 0.0000 0.1233
```


Arrangement ii

Density functional theory data (GGA-PBE) for a relaxed structure of Na3Sb2.

Structure (CIF):
```
data_Na3Sb2
_chemical_formula_sum 'Na6 Sb4'
_space_group_name_H-M_alt 'I m m m'
_space_group_IT_number 71
_space_group_name_Hall '-I 2 2'
_cell_length_a 5.0948
_cell_length_b 6.6098
_cell_length_c 8.8965
_cell_angle_alpha 90.00
_cell_angle_beta 90.00
_cell_angle_gamma 90.00
loop_
_atom_site_label
_atom_site_fract_x
_atom_site_fract_y
_atom_site_fract_z
Na1 0.0000 0.0000 0.0000
Na2 0.0000 0.5000 0.1956
Sb1 0.0000 0.2147 0.5000
```


Which of them is the most stable? Correct choice: arrangement ii.


Arrangement i

Density functional theory data (GGA-PBE) for a relaxed structure of NaSc3Sb.

Structure (CIF):
```
data_NaSc3Sb
_chemical_formula_sum 'Na1 Sc3 Sb1'
_space_group_name_H-M_alt 'P m -3 m'
_space_group_IT_number 221
_space_group_name_Hall '-P 4 2 3'
_cell_length_a 5.4823
_cell_length_b 5.4823
_cell_length_c 5.4823
_cell_angle_alpha 90.00
_cell_angle_beta 90.00
_cell_angle_gamma 90.00
loop_
_atom_site_label
_atom_site_fract_x
_atom_site_fract_y
_atom_site_fract_z
Na1 0.0000 0.0000 0.0000
Sc1 0.0000 0.5000 0.5000
Sb1 0.5000 0.5000 0.5000
```


Arrangement ii

Density functional theory data (GGA-PBE) for a relaxed structure of NaSc3Sb.

Structure (CIF):
```
data_NaSc3Sb
_chemical_formula_sum 'Na1 Sc3 Sb1'
_space_group_name_H-M_alt 'P m -3 m'
_space_group_IT_number 221
_space_group_name_Hall '-P 4 2 3'
_cell_length_a 5.0758
_cell_length_b 5.0758
_cell_length_c 5.0758
_cell_angle_alpha 90.00
_cell_angle_beta 90.00
_cell_angle_gamma 90.00
loop_
_atom_site_label
_atom_site_fract_x
_atom_site_fract_y
_atom_site_fract_z
Na1 0.0000 0.0000 0.0000
Sc1 0.0000 0.0000 0.5000
Sb1 0.5000 0.5000 0.5000
```


Which of them is the most stable? Correct choice: arrangement i.


Arrangement i

Density functional theory data (GGA-PBE) for a relaxed structure of Na2ScTlSb.

Structure (CIF):
```
data_Na2ScTlSb
_chemical_formula_sum 'Na2 Sc1 Tl1 Sb1'
_space_group_name_H-M_alt 'P 4/m m m'
_space_group_IT_number 123
_space_group_name_Hall '-P 4 2'
_cell_length_a 6.1036
_cell_length_b 6.1036
_cell_length_c 5.3967
_cell_angle_alpha 90.00
_cell_angle_beta 90.00
_cell_angle_gamma 90.00
loop_
_atom_site_label
_atom_site_fract_x
_atom_site_fract_y
_atom_site_fract_z
Na1 0.0000 0.5000 0.0000
Sc1 0.0000 0.0000 0.0000
Tl1 0.5000 0.5000 0.5000
Sb1 0.0000 0.0000 0.5000
```


Arrangement ii

Density functional theory data (GGA-PBE) for a relaxed structure of Na2ScTlSb.

Structure (CIF):
```
data_Na2ScTlSb
_chemical_formula_sum 'Na2 Sc1 Tl1 Sb1'
_space_group_name_H-M_alt 'P 4/m m m'
_space_group_IT_number 123
_space_group_name_Hall '-P 4 2'
_cell_length_a 5.7497
_cell_length_b 5.7497
_cell_length_c 5.5527
_cell_angle_alpha 90.00
_cell_angle_beta 90.00
_cell_angle_gamma 90.00
loop_
_atom_site_label
_atom_site_fract_x
_atom_site_fract_y
_atom_site_fract_z
Na1 0.0000 0.5000 0.0000
Sc1 0.0000 0.0000 0.0000
Tl1 0.0000 0.0000 0.5000
Sb1 0.5000 0.5000 0.5000
```


Which of them is the most stable? Correct choice: arrangement i.


Arrangement i

Density functional theory data (GGA-PBE) for a relaxed structure of Na2SbSe.

Structure (CIF):
```
data_Na2SbSe
_chemical_formula_sum 'Na8 Sb4 Se4'
_space_group_name_H-M_alt 'F m -3 m'
_space_group_IT_number 225
_space_group_name_Hall '-F 4 2 3'
_cell_length_a 7.3636
_cell_length_b 7.3636
_cell_length_c 7.3636
_cell_angle_alpha 90.00
_cell_angle_beta 90.00
_cell_angle_gamma 90.00
loop_
_atom_site_label
_atom_site_fract_x
_atom_site_fract_y
_atom_site_fract_z
Na1 0.2500 0.2500 0.2500
Sb1 0.0000 0.0000 0.0000
Se1 0.0000 0.0000 0.5000
```


Arrangement ii

Density functional theory data (GGA-PBE) for a relaxed structure of Na2SbSe.

Structure (CIF):
```
data_Na2SbSe
_chemical_formula_sum 'Na8 Sb4 Se4'
_space_group_name_H-M_alt 'I -4 2 d'
_space_group_IT_number 122
_space_group_name_Hall 'I -4 2bw'
_cell_length_a 8.4680
_cell_length_b 8.4680
_cell_length_c 5.9542
_cell_angle_alpha 90.00
_cell_angle_beta 90.00
_cell_angle_gamma 90.00
loop_
_atom_site_label
_atom_site_fract_x
_atom_site_fract_y
_atom_site_fract_z
Na1 0.2083 0.7500 0.1250
Sb1 0.0000 0.0000 0.5000
Se1 0.0000 0.0000 0.0000
```


Which of them is the most stable? Correct choice: arrangement ii.


Arrangement i

Density functional theory data (GGA-PBE) for a relaxed structure of NaSb2Se4.

Structure (CIF):
```
data_NaSb2Se4
_chemical_formula_sum 'Na4 Sb8 Se16'
_space_group_name_H-M_alt 'C m c m'
_space_group_IT_number 63
_space_group_name_Hall '-C 2c 2'
_cell_length_a 4.0526
_cell_length_b 13.3669
_cell_length_c 14.0906
_cell_angle_alpha 90.00
_cell_angle_beta 90.00
_cell_angle_gamma 90.00
loop_
_atom_site_label
_atom_site_fract_x
_atom_site_fract_y
_atom_site_fract_z
Na1 0.0000 0.0984 0.2500
Sb1 0.0000 0.3637 0.0726
Se1 0.0000 0.0000 0.0000
Se2 0.0000 0.2732 0.6157
Se3 0.0000 0.4423 0.2500
```


Arrangement ii

Density functional theory data (GGA-PBE) for a relaxed structure of NaSb2Se4.

Structure (CIF):
```
data_NaSb2Se4
_chemical_formula_sum 'Na4 Sb8 Se16'
_space_group_name_H-M_alt 'I -4 2 d'
_space_group_IT_number 122
_space_group_name_Hall 'I -4 2bw'
_cell_length_a 8.5638
_cell_length_b 8.5638
_cell_length_c 11.5738
_cell_angle_alpha 90.00
_cell_angle_beta 90.00
_cell_angle_gamma 90.00
loop_
_atom_site_label
_atom_site_fract_x
_atom_site_fract_y
_atom_site_fract_z
Na1 0.0000 0.0000 0.0000
Sb1 0.0007 0.7500 0.6250
Se1 0.0012 0.7219 0.8711
```


Which of them is the most stable? Correct choice: arrangement i.


Arrangement i

Density functional theory data (GGA-PBE) for a relaxed structure of Na5SbSe6.

Structure (CIF):
```
data_Na5SbSe6
_chemical_formula_sum 'Na10 Sb2 Se12'
_space_group_name_H-M_alt 'C 1 2/m 1'
_space_group_IT_number 12
_cell_length_a 6.7115
_cell_length_b 15.4109
_cell_length_c 6.3177
_cell_angle_alpha 90.00
_cell_angle_beta 116.23
_cell_angle_gamma 90.00
loop_
_space_group_symop_operation_xyz
'x,y,z'
'-x,-y,-z'
'-x,y,-z'
'x,-y,z'
'x+1/2,y+1/2,z'
'-x+1/2,-y+1/2,-z'
'-x+1/2,y+1/2,-z'
'x+1/2,-y+1/2,z'
loop_
_atom_site_label
_atom_site_fract_x
_atom_site_fract_y
_atom_site_fract_z
Na1 0.0000 0.0000 0.0000
Na2 0.0000 0.3247 0.5000
Na3 0.0000 0.3370 0.0000
Sb1 0.0000 0.0000 0.5000
Se1 0.0038 0.1597 0.7505
Se2 0.0172 0.5000 0.2999
```


Arrangement ii

Density functional theory data (GGA-PBE) for a relaxed structure of Na5SbSe6.

Structure (CIF):
```
data_Na5SbSe6
_chemical_formula_sum 'Na10 Sb2 Se12'
_space_group_name_H-M_alt 'C 1 2/m 1'
_space_group_IT_number 12
_cell_length_a 7.3353
_cell_length_b 12.9021
_cell_length_c 7.2302
_cell_angle_alpha 90.00
_cell_angle_beta 111.12
_cell_angle_gamma 90.00
loop_
_space_group_symop_operation_xyz
'x,y,z'
'-x,-y,-z'
'-x,y,-z'
'x,-y,z'
'x+1/2,y+1/2,z'
'-x+1/2,-y+1/2,-z'
'-x+1/2,y+1/2,-z'
'x+1/2,-y+1/2,z'
loop_
_atom_site_label
_atom_site_fract_x
_atom_site_fract_y
_atom_site_fract_z
Na1 0.0000 0.0000 0.0000
Na2 0.0000 0.1710 0.5000
Na3 0.0000 0.3309 0.0000
Sb1 0.0000 0.5000 0.5000
Se1 0.2248 0.5000 0.2809
Se2 0.2258 0.3515 0.7335
```


Which of them is the most stable? Correct choice: arrangement i.